[1]
## La4Zn2In5 (PBE)

Data for a relaxed structure of La4Zn2In5.

Geometry as CIF:
```
data_La4Zn2In5
_chemical_formula_sum 'La4 Zn2 In5'
_symmetry_space_group_name_H-M 'P 1 2/m 1'
_symmetry_Int_Tables_number 10
_cell_length_a 8.032
_cell_length_b 3.738
_cell_length_c 10.256
_cell_angle_alpha 90.00
_cell_angle_beta 94.12
_cell_angle_gamma 90.00
loop_
_symmetry_equiv_pos_as_xyz
'x,y,z'
'-x,-y,-z'
'-x,y,-z'
'x,-y,z'
loop_
_atom_site_label
_atom_site_type_symbol
_atom_site_fract_x
_atom_site_fract_y
_atom_site_fract_z
_atom_site_occupancy
La1 La 0.170 0.000 0.376 1
La2 La 0.264 0.000 0.945 1
Zn1 Zn 0.055 0.500 0.128 1
In1 In 0.188 0.500 0.666 1
In2 In 0.440 0.500 0.200 1
In3 In 0.500 0.500 0.500 1
```

As for the density of states at the Fermi level: 1.046 states/eV/atom. The calculation puts the volume at 27.92 Å³/atom. The calculation puts the energy of formation at -0.4083 eV/atom. The value obtained for the magnetization is 0.00 Bohr magnetons per cell.

***

[2]
## Ca2YAgS4 (PBE)

Data for a relaxed structure of Ca2YAgS4.

Geometry as CIF:
```
data_Ca2YAgS4
_chemical_formula_sum 'Ca2 Y1 Ag1 S4'
_symmetry_space_group_name_H-M 'P 1 2/m 1'
_symmetry_Int_Tables_number 10
_cell_length_a 6.895
_cell_length_b 4.015
_cell_length_c 6.899
_cell_angle_alpha 90.00
_cell_angle_beta 109.63
_cell_angle_gamma 90.00
loop_
_symmetry_equiv_pos_as_xyz
'x,y,z'
'-x,-y,-z'
'-x,y,-z'
'x,-y,z'
loop_
_atom_site_label
_atom_site_type_symbol
_atom_site_fract_x
_atom_site_fract_y
_atom_site_fract_z
_atom_site_occupancy
Ca1 Ca 0.000 0.000 0.000 1
Ca2 Ca 0.000 0.500 0.500 1
Y1 Y 0.500 0.000 0.500 1
Ag1 Ag 0.500 0.500 0.000 1
S1 S 0.254 0.500 0.261 1
S2 S 0.255 0.000 0.744 1
```

The uncorrected formation energy is -1.692 eV/atom. The calculation puts the volume at 22.49 Å³/atom. The value obtained for the magnetization is 0.00 Bohr magnetons per cell.

***

[3]
## Ge3BPb (PBE)

Data for a relaxed structure of Ge3BPb.

Geometry as CIF:
```
data_Ge3BPb
_chemical_formula_sum 'Ge3 B1 Pb1'
_symmetry_space_group_name_H-M 'P m -3 m'
_symmetry_Int_Tables_number 221
_symmetry_space_group_name_Hall '-P 4 2 3'
_cell_length_a 5.444
_cell_length_b 5.444
_cell_length_c 5.444
_cell_angle_alpha 90.00
_cell_angle_beta 90.00
_cell_angle_gamma 90.00
loop_
_atom_site_label
_atom_site_type_symbol
_atom_site_fract_x
_atom_site_fract_y
_atom_site_fract_z
_atom_site_occupancy
Ge1 Ge 0.000 0.000 0.500 1
B1 B 0.500 0.500 0.500 1
Pb1 Pb 0.000 0.000 0.000 1
```

As for the density of states at the Fermi level: 0.754 states/eV/atom. The calculation puts the volume at 32.27 Å³/atom. The calculation puts the energy of formation at 1.9573 eV/atom. The polymorph energy (0 for the lowest one) is 131.4 kJ per mole of atoms. The value obtained for the magnetization is 0.00 Bohr magnetons per cell.

***

[4]
## KOs (PBE)

Data for a relaxed structure of KOs.

Geometry as CIF:
```
data_KOs
_chemical_formula_sum 'K2 Os2'
_symmetry_space_group_name_H-M 'P 4/n m m'
_symmetry_Int_Tables_number 129
_cell_length_a 3.316
_cell_length_b 3.316
_cell_length_c 10.525
_cell_angle_alpha 90.00
_cell_angle_beta 90.00
_cell_angle_gamma 90.00
loop_
_symmetry_equiv_pos_as_xyz
'x,y,z'
'-x,-y,-z'
'-y+1/2,x,z'
'y+1/2,-x,-z'
'-x+1/2,-y+1/2,z'
'x+1/2,y+1/2,-z'
'y,-x+1/2,z'
'-y,x+1/2,-z'
'x+1/2,-y,-z'
'-x+1/2,y,z'
'-y,-x,-z'
'y,x,z'
'-x,y+1/2,-z'
'x,-y+1/2,z'
'y+1/2,x+1/2,-z'
'-y+1/2,-x+1/2,z'
loop_
_atom_site_label
_atom_site_type_symbol
_atom_site_fract_x
_atom_site_fract_y
_atom_site_fract_z
_atom_site_occupancy
K1 K 0.250 0.250 0.209 1
Os1 Os 0.250 0.250 0.544 1
```

As for the density of states at the Fermi level: 0.918 states/eV/atom. The calculation puts the volume at 28.94 Å³/atom. The calculation puts the energy of formation at 0.8524 eV/atom. The polymorph energy (0 for the lowest one) is 14.9 kJ per mole of atoms. The value obtained for the magnetization is 0.14 Bohr magnetons per cell.

***

[5]
## Li2YNi9 (PBE)

Data for a relaxed structure of Li2YNi9.

Geometry as CIF:
```
data_Li2YNi9
_chemical_formula_sum 'Li6 Y3 Ni27'
_symmetry_space_group_name_H-M 'R -3 m'
_symmetry_Int_Tables_number 166
_symmetry_space_group_name_Hall '-R 3 2"'
_cell_length_a 4.8259
_cell_length_b 4.8259
_cell_length_c 23.3787
_cell_angle_alpha 90.00
_cell_angle_beta 90.00
_cell_angle_gamma 120.00
loop_
_atom_site_label
_atom_site_type_symbol
_atom_site_fract_x
_atom_site_fract_y
_atom_site_fract_z
_atom_site_occupancy
Li1 Li 0.0000 0.0000 0.1453 1
Y1 Y 0.0000 0.0000 0.0000 1
Ni1 Ni 0.0000 0.0000 0.3332 1
Ni2 Ni 0.0000 0.0000 0.5000 1
Ni3 Ni 0.0022 0.5011 0.9151 1
```

As for the density of states at the Fermi level: 1.125 states/eV/atom. The calculation puts the volume at 13.10 Å³/atom. The calculation puts the energy of formation at -0.1535 eV/atom. The polymorph energy (0 for the lowest one) is 0.3 kJ per mole of atoms. The value obtained for the magnetization is 6.99 Bohr magnetons per cell.

***

[6]
## Sm4Al3Hg (PBE)

Data for a relaxed structure of Sm4Al3Hg.

Geometry as CIF:
```
data_Sm4Al3Hg
_chemical_formula_sum 'Sm4 Al3 Hg1'
_symmetry_space_group_name_H-M 'P m m 2'
_symmetry_Int_Tables_number 25
_cell_length_a 3.808
_cell_length_b 4.610
_cell_length_c 12.018
_cell_angle_alpha 90.00
_cell_angle_beta 90.00
_cell_angle_gamma 90.00
loop_
_symmetry_equiv_pos_as_xyz
'x,y,z'
'-x,-y,z'
'-x,y,z'
'x,-y,z'
loop_
_atom_site_label
_atom_site_type_symbol
_atom_site_fract_x
_atom_site_fract_y
_atom_site_fract_z
_atom_site_occupancy
Sm1 Sm 0.000 0.000 0.000 1
Sm2 Sm 0.000 0.500 0.304 1
Sm3 Sm 0.500 0.000 0.494 1
Sm4 Sm 0.500 0.500 0.805 1
Al1 Al 0.000 0.500 0.580 1
Al2 Al 0.500 0.000 0.217 1
Al3 Al 0.500 0.500 0.084 1
Hg1 Hg 0.000 0.000 0.721 1
```

As for the density of states at the Fermi level: 0.909 states/eV/atom. The calculation puts the volume at 26.37 Å³/atom. The calculation puts the energy of formation at -0.3682 eV/atom. The polymorph energy (0 for the lowest one) is 2.9 kJ per mole of atoms. The value obtained for the magnetization is 0.01 Bohr magnetons per cell.